Computed, not measured: crystalline PmPr2 at its relaxed geometry at the GGA-PBE level of DFT.

Cell lengths 4.968, 4.968, 17.907 Å; angles 90.00, 90.00, 90.00 degrees
Space group I4/mmm (No. 139)
Unique sites:
1 Pm 0.000 0.000 0.150 x4
2 Pr 0.000 0.000 0.346 x4
3 Pr 0.000 0.500 0.000 x4

Properties
energy: -4.572 eV/atom
DFT formation energy: 19.1 kJ per mole of atoms
energy above the most stable polymorph in this dataset: 0.1833 eV/atom

=====

Computed, not measured: crystalline Pm6Pr7 at its relaxed geometry at the GGA-PBE level of DFT.

Cell lengths 6.7892, 6.7892, 34.7848 Å; angles 90.00, 90.00, 120.00 degrees
Space group R-3m (No. 166, hexagonal axes)
Unique sites:
1 Pm 0.0000 0.0000 0.0455 x6
2 Pm 0.0000 0.0000 0.1481 x6
3 Pm 0.0000 0.0000 0.3358 x6
4 Pr 0.0000 0.0000 0.5000 x3
5 Pr 0.0131 0.5066 0.9129 x18

Properties
energy: -4.538 eV/atom
DFT formation energy: 22.0 kJ per mole of atoms

=====

Computed, not measured: crystalline Pm3Pr5 at its relaxed geometry at the GGA-PBE level of DFT.

Cell lengths 10.424, 10.430, 5.226 Å; angles 90.00, 90.00, 90.00 degrees
Space group Cmmm (No. 65)
Unique sites:
1 Pm 0.000 0.000 0.000 x2
2 Pm 0.000 0.249 0.500 x4
3 Pr 0.000 0.500 0.000 x2
4 Pr 0.249 0.000 0.500 x4
5 Pr 0.250 0.250 0.000 x4

Properties
energy: -4.756 eV/atom
DFT formation energy: 1.2 kJ per mole of atoms